(1)
K15BaNa4: optimized geometry, PBE-GGA.

- formation energy from the elements (kJ per mole of atoms) = 3.7
- calculated volume (Å³/f.u.) = 1279.6
- symmetry = P4/mmm (123)

a = 6.4252 Å, b = 6.4252 Å, c = 30.9952 Å
α = 90.00°, β = 90.00°, γ = 90.00°
Last column: nearest neighbours and their distance in Å.
Element x y z (fractional)
K  0.5000  0.5000  0.0000  4 Ba 4.54, 8 K 4.67
K  0.5000  0.5000  0.2071  8 K 4.40-4.41, 4 Na 4.54
K  0.5000  0.5000  0.4022  8 K 4.42-4.43, 4 Na 4.54
K  0.5000  0.5000  0.5978  8 K 4.42-4.43, 4 Na 4.54
K  0.5000  0.5000  0.7929  8 K 4.40-4.41, 4 Na 4.54
K  0.5000  0.0000  0.1096  2 Na 4.37, 8 K 4.41-4.67, 2 Ba 4.67
K  0.5000  0.0000  0.3039  8 K 4.40-4.54, 4 Na 4.42-4.44
K  0.5000  0.0000  0.5000  8 K 4.42-4.54, 4 Na 4.42
K  0.5000  0.0000  0.6961  8 K 4.40-4.54, 4 Na 4.42-4.44
K  0.5000  0.0000  0.8904  2 Na 4.37, 8 K 4.41-4.67, 2 Ba 4.67
K  0.0000  0.5000  0.1096  2 Na 4.37, 8 K 4.41-4.67, 2 Ba 4.67
K  0.0000  0.5000  0.3039  8 K 4.40-4.54, 4 Na 4.42-4.44
K  0.0000  0.5000  0.5000  8 K 4.42-4.54, 4 Na 4.42
K  0.0000  0.5000  0.6961  8 K 4.40-4.54, 4 Na 4.42-4.44
K  0.0000  0.5000  0.8904  2 Na 4.37, 8 K 4.41-4.67, 2 Ba 4.67
Ba  0.0000  0.0000  0.0000  12 K 4.54-4.67
Na  0.0000  0.0000  0.2052  12 K 4.37-4.54
Na  0.0000  0.0000  0.4020  12 K 4.42-4.54
Na  0.0000  0.0000  0.5980  12 K 4.42-4.54
Na  0.0000  0.0000  0.7948  12 K 4.37-4.54

(2)
Hf3Fe2Si4: optimized geometry, PBE-GGA.

- calculated volume (Å³/f.u.) = 136.2
- symmetry = C2/m (12)
- E_form (uncorrected) (meV/atom) = -713.4

a = 3.9244 Å, b = 5.2723 Å, c = 7.4948 Å
α = 107.42°, β = 90.00°, γ = 111.85°
Last column: nearest neighbours and their distance in Å.
Element x y z (fractional)
Hf  0.6268  0.2535  0.6926  4 Fe 2.72-2.95, 7 Si 2.72-2.86
Hf  0.0000  0.0000  0.0000  8 Si 2.80-3.02
Hf  0.3732  0.7465  0.3074  4 Fe 2.72-2.95, 7 Si 2.72-2.86
Fe  0.6861  0.3721  0.3627  4 Si 2.24-2.33
Fe  0.3139  0.6279  0.6373  4 Si 2.24-2.33
Si  0.7151  0.4302  0.0757  1 Fe 2.26, 2 Si 2.47
Si  0.2849  0.5698  0.9243  1 Fe 2.26, 2 Si 2.47
Si  0.9102  0.8204  0.5968  3 Fe 2.24-2.33
Si  0.0898  0.1796  0.4032  3 Fe 2.24-2.33

(3)
Rb2U3RhO12: optimized geometry, PBE-GGA.

- calculated volume (Å³/f.u.) = 327.3
- symmetry = R-3m (166)
- E_form (uncorrected) (meV/atom) = -2514.1

a = 7.5702 Å, b = 7.5702 Å, c = 7.5702 Å
α = 63.01°, β = 63.01°, γ = 63.01°
Last column: nearest neighbours and their distance in Å.
Element x y z (fractional)
Rb  0.6308  0.6308  0.6308  9 O 3.38-3.60
Rb  0.3692  0.3692  0.3692  9 O 3.38-3.60
U  0.5000  0.0000  0.0000  6 O 2.01-2.13
U  0.0000  0.5000  0.0000  6 O 2.01-2.13
U  0.0000  0.0000  0.5000  6 O 2.01-2.13
Rh  0.0000  0.0000  0.0000  6 O 1.99
O  0.3224  0.3224  0.9404  2 U 2.13
O  0.9411  0.9411  0.3025  1 Rh 1.99, 1 U 2.01
O  0.3025  0.9411  0.9411  1 Rh 1.99, 1 U 2.01
O  0.9404  0.3224  0.3224  2 U 2.13
O  0.9411  0.3025  0.9411  1 Rh 1.99, 1 U 2.01
O  0.3224  0.9404  0.3224  2 U 2.13
O  0.6776  0.6776  0.0596  2 U 2.13
O  0.0589  0.0589  0.6975  1 Rh 1.99, 1 U 2.01
O  0.6975  0.0589  0.0589  1 Rh 1.99, 1 U 2.01
O  0.0596  0.6776  0.6776  2 U 2.13
O  0.0589  0.6975  0.0589  1 Rh 1.99, 1 U 2.01
O  0.6776  0.0596  0.6776  2 U 2.13

(4)
YMg2Rh2: optimized geometry, PBE-GGA.

- formation energy from the elements (kJ per mole of atoms) = -52.2
- calculated volume (Å³/f.u.) = 91.7
- symmetry = P4/mbm (127)

a = 7.5609 Å, b = 7.5609 Å, c = 3.2078 Å
α = 90.00°, β = 90.00°, γ = 90.00°
Last column: nearest neighbours and their distance in Å.
Element x y z (fractional)
Y  0.0000  0.0000  0.0000  4 Rh 2.85
Y  0.5000  0.5000  0.0000  4 Rh 2.85
Mg  0.1377  0.6377  0.5000  6 Rh 2.71-2.75, 1 Mg 2.95
Mg  0.6377  0.8623  0.5000  6 Rh 2.71-2.75, 1 Mg 2.95
Mg  0.8623  0.3623  0.5000  6 Rh 2.71-2.75, 1 Mg 2.95
Mg  0.3623  0.1377  0.5000  6 Rh 2.71-2.75, 1 Mg 2.95
Rh  0.3422  0.8422  0.0000  6 Mg 2.71-2.75, 2 Y 2.85
Rh  0.8422  0.6578  0.0000  6 Mg 2.71-2.75, 2 Y 2.85
Rh  0.6578  0.1578  0.0000  6 Mg 2.71-2.75, 2 Y 2.85
Rh  0.1578  0.3422  0.0000  6 Mg 2.71-2.75, 2 Y 2.85

Number 1: theoretical density 1.1 Mg/m³. Number 2: theoretical density 9.3 Mg/m³. Number 3: theoretical density 6.0 Mg/m³. Number 4: theoretical density 6.2 Mg/m³.